[1]
{
  "formula": "TmPaNO",
  "functional": "PBE-GGA",
  "state": "relaxed",
  "lattice": [[3.9119, 0.0000, 0.0000], [0.0000, 6.9415, 0.0000], [0.0000, 0.0000, 5.0699]],
  "species": ["Tm", "Tm", "Pa", "Pa", "N", "N", "O", "O"],
  "fractional_positions": [[0.0000, 0.1656, 0.0000], [0.0000, 0.8344, 0.5000], [0.5000, 0.3464, 0.5005], [0.5000, 0.6536, 0.0005], [0.0000, 0.1561, 0.4993], [0.0000, 0.8439, 0.9993], [0.5000, 0.3035, 0.0014], [0.5000, 0.6965, 0.5014]]
}

***

[2]
{
  "formula": "TmPaNO",
  "functional": "PBE-GGA",
  "state": "relaxed",
  "lattice": [[4.2628, 0.0000, 0.0000], [0.0000, 4.2628, 0.0000], [0.0000, 0.0000, 7.5943]],
  "species": ["Tm", "Tm", "Pa", "Pa", "N", "N", "O", "O"],
  "fractional_positions": [[0.2500, 0.2500, 0.0959], [0.7500, 0.7500, 0.9041], [0.2500, 0.7500, 0.5000], [0.7500, 0.2500, 0.5000], [0.2500, 0.2500, 0.6437], [0.7500, 0.7500, 0.3563], [0.2500, 0.7500, 0.0000], [0.7500, 0.2500, 0.0000]]
}

***

[3]
{
  "formula": "TmPaNO",
  "functional": "PBE-GGA",
  "state": "relaxed",
  "lattice": [[4.2144, 0.0000, 0.0000], [0.0000, 4.2144, 0.0000], [0.0000, 0.0000, 8.7114]],
  "species": ["Tm", "Tm", "Pa", "Pa", "N", "N", "O", "O"],
  "fractional_positions": [[0.2500, 0.7500, 0.0000], [0.7500, 0.2500, 0.0000], [0.2500, 0.2500, 0.3656], [0.7500, 0.7500, 0.6344], [0.2500, 0.2500, 0.8977], [0.7500, 0.7500, 0.1023], [0.2500, 0.7500, 0.5000], [0.7500, 0.2500, 0.5000]]
}

***

[4]
{
  "formula": "PdPbNO",
  "functional": "PBE-GGA",
  "state": "relaxed",
  "lattice": [[4.7777, 0.0000, 0.0000], [0.0000, 4.7777, 0.0000], [0.0000, 0.0000, 4.7347]],
  "species": ["Pd", "Pd", "Pb", "Pb", "N", "N", "O", "O"],
  "fractional_positions": [[0.2500, 0.2500, 0.0028], [0.7500, 0.7500, 0.9972], [0.2500, 0.7500, 0.5000], [0.7500, 0.2500, 0.5000], [0.2500, 0.2500, 0.5072], [0.7500, 0.7500, 0.4928], [0.2500, 0.7500, 0.0000], [0.7500, 0.2500, 0.0000]]
}

***

[5]
{
  "formula": "PdPbNO",
  "functional": "PBE-GGA",
  "state": "relaxed",
  "lattice": [[3.9679, 0.0000, 0.0000], [0.0000, 3.9679, 0.0000], [0.0000, 0.0000, 8.5722]],
  "species": ["Pd", "Pd", "Pb", "Pb", "N", "N", "O", "O"],
  "fractional_positions": [[0.2500, 0.7500, 0.0000], [0.7500, 0.2500, 0.0000], [0.2500, 0.2500, 0.3580], [0.7500, 0.7500, 0.6420], [0.2500, 0.2500, 0.9176], [0.7500, 0.7500, 0.0824], [0.2500, 0.7500, 0.5000], [0.7500, 0.2500, 0.5000]]
}

***

[6]
{
  "formula": "PdPbNO",
  "functional": "PBE-GGA",
  "state": "relaxed",
  "lattice": [[3.8968, 0.0000, 0.0000], [0.0000, 6.3359, 0.0000], [0.0000, 0.0000, 5.3363]],
  "species": ["Pd", "Pd", "Pb", "Pb", "N", "N", "O", "O"],
  "fractional_positions": [[0.0000, 0.0868, 0.0000], [0.0000, 0.9132, 0.5000], [0.5000, 0.3264, 0.5070], [0.5000, 0.6736, 0.0070], [0.0000, 0.2008, 0.3419], [0.0000, 0.7992, 0.8419], [0.5000, 0.3241, 0.9270], [0.5000, 0.6759, 0.4270]]
}

***

Record-wise total energy values, in eV per atom: -8.38; -8.00; -7.78; -5.19; -5.46; -5.29
Record-wise relative energy among the computed polymorphs values, in eV per atom: 0.0000; 0.3754; 0.5939; 0.2801; 0.0124; 0.1826